# K3Rb12Ag5 (PBE, relaxed)
data_K3Rb12Ag5
_cell_length_a 19.964
_cell_length_b 19.964
_cell_length_c 19.964
_cell_angle_alpha 109.47
_cell_angle_beta 109.47
_cell_angle_gamma 109.47
_space_group_name_H-M_alt 'P 1'
_space_group_IT_number 1
loop_
_space_group_symop_operation_xyz
'x,y,z'
loop_
_atom_site_label
_atom_site_type_symbol
_atom_site_fract_x
_atom_site_fract_y
_atom_site_fract_z
K1 K 0.750 0.375 0.125
K2 K 0.875 0.750 0.125
K3 K 0.375 0.750 0.625
K4 K 0.250 0.125 0.375
K5 K 0.875 0.125 0.250
K6 K 0.375 0.625 0.250
K7 K 0.625 0.375 0.750
K8 K 0.125 0.875 0.750
K9 K 0.750 0.875 0.625
K10 K 0.625 0.250 0.375
K11 K 0.125 0.250 0.875
K12 K 0.250 0.625 0.875
Ag1 Ag 0.125 0.375 0.250
Ag2 Ag 0.000 0.500 0.000
Ag3 Ag 0.000 0.000 0.000
Ag4 Ag 0.375 0.250 0.125
Ag5 Ag 0.500 0.000 0.500
Ag6 Ag 0.500 0.500 0.000
Ag7 Ag 0.125 0.750 0.375
Ag8 Ag 0.750 0.125 0.875
Ag9 Ag 0.750 0.625 0.375
Ag10 Ag 0.375 0.125 0.750
Ag11 Ag 0.625 0.875 0.250
Ag12 Ag 0.500 0.500 0.500
Ag13 Ag 0.500 0.000 0.000
Ag14 Ag 0.000 0.000 0.500
Ag15 Ag 0.250 0.375 0.625
Ag16 Ag 0.250 0.875 0.125
Ag17 Ag 0.000 0.500 0.500
Ag18 Ag 0.875 0.250 0.625
Ag19 Ag 0.625 0.750 0.875
Ag20 Ag 0.875 0.625 0.750
Rb1 Rb 0.696 0.102 0.017
Rb2 Rb 0.320 0.517 0.414
Rb3 Rb 0.983 0.398 0.304
Rb4 Rb 0.517 0.196 0.102
Rb5 Rb 0.594 0.696 0.680
Rb6 Rb 0.983 0.586 0.180
Rb7 Rb 0.320 0.804 0.406
Rb8 Rb 0.086 0.906 0.102
Rb9 Rb 0.586 0.983 0.680
Rb10 Rb 0.696 0.594 0.180
Rb11 Rb 0.804 0.483 0.398
Rb12 Rb 0.820 0.914 0.017
Rb13 Rb 0.102 0.696 0.517
Rb14 Rb 0.398 0.414 0.094
Rb15 Rb 0.094 0.914 0.398
Rb16 Rb 0.406 0.102 0.586
Rb17 Rb 0.094 0.180 0.196
Rb18 Rb 0.483 0.680 0.086
Rb19 Rb 0.820 0.906 0.304
Rb20 Rb 0.102 0.406 0.086
Rb21 Rb 0.398 0.983 0.804
Rb22 Rb 0.586 0.602 0.406
Rb23 Rb 0.914 0.820 0.517
Rb24 Rb 0.804 0.320 0.906
Rb25 Rb 0.414 0.398 0.594
Rb26 Rb 0.086 0.180 0.483
Rb27 Rb 0.196 0.680 0.094
Rb28 Rb 0.180 0.094 0.696
Rb29 Rb 0.602 0.017 0.196
Rb30 Rb 0.898 0.594 0.914
Rb31 Rb 0.517 0.320 0.914
Rb32 Rb 0.594 0.898 0.414
Rb33 Rb 0.906 0.820 0.804
Rb34 Rb 0.906 0.086 0.602
Rb35 Rb 0.898 0.304 0.483
Rb36 Rb 0.180 0.086 0.983
Rb37 Rb 0.602 0.586 0.906
Rb38 Rb 0.414 0.017 0.320
Rb39 Rb 0.304 0.406 0.820
Rb40 Rb 0.196 0.517 0.602
Rb41 Rb 0.914 0.094 0.898
Rb42 Rb 0.680 0.196 0.594
Rb43 Rb 0.483 0.804 0.898
Rb44 Rb 0.017 0.414 0.820
Rb45 Rb 0.406 0.304 0.320
Rb46 Rb 0.017 0.602 0.696
Rb47 Rb 0.680 0.483 0.586
Rb48 Rb 0.304 0.898 0.983
# Magnetization   0.00 Bohr magnetons per cell
# DOS at the Fermi energy   0.955 states/eV per atom
# Space-group type   No. 230
# Crystal system   cubic
# Formation energy from the elements   3.2 eV per formula unit